(1)
The following is a PBE calculation of a relaxed structure of SbSeO2, from the Alexandria database.

Calculated values
The calculated total energy is -4.650 eV/atom. The uncorrected formation energy is -0.269 eV/atom. The offset from the most stable computed form is 0.191 eV/atom. The volume comes out at 92.6 Å³/f.u. Its symmetry is I-42d, No. 122.

a = 6.3929 Å, b = 6.3929 Å, c = 6.4020 Å
α = 60.05°, β = 60.05°, γ = 90.00°
Atoms (fractional coordinates):
Sb  0.0000  0.0000  0.0000
Sb  0.7500  0.2500  0.5000
O  0.8498  0.1250  0.2500
O  0.9002  0.6250  0.2500
O  0.3750  0.1502  0.7500
O  0.8750  0.0998  0.7500
Se  0.5000  0.5000  0.0000
Se  0.2500  0.7500  0.5000

---

(2)
The following is a PBE calculation of a relaxed structure of Sb4Se5O, from the Alexandria database.

Calculated values
The calculated total energy is -4.158 eV/atom. The uncorrected formation energy is -0.271 eV/atom. The volume comes out at 283.4 Å³/f.u. Its symmetry is C2/m, No. 12.

a = 3.8939 Å, b = 7.2096 Å, c = 10.3987 Å
α = 98.66°, β = 100.79°, γ = 90.00°
Atoms (fractional coordinates):
Sb  0.3353  0.0016  0.6706
Sb  0.9923  0.7870  0.9846
Sb  0.6647  0.9984  0.3294
Sb  0.0077  0.2130  0.0154
Se  0.8645  0.7269  0.7291
Se  0.7783  0.2222  0.5565
Se  0.2217  0.7778  0.4435
Se  0.5000  0.5000  0.0000
Se  0.1355  0.2731  0.2709
O  0.5000  0.0000  0.0000

---

(3)
The following is a PBE calculation of a relaxed structure of SbSeO2, from the Alexandria database.

Calculated values
The calculated total energy is -4.515 eV/atom. The uncorrected formation energy is -0.134 eV/atom. The offset from the most stable computed form is 0.326 eV/atom. The volume comes out at 65.1 Å³/f.u. Its symmetry is R-3m, No. 166.

a = 6.8163 Å, b = 6.8163 Å, c = 6.8163 Å
α = 28.82°, β = 28.82°, γ = 28.82°
Atoms (fractional coordinates):
Sb  0.0000  0.0000  0.0000
O  0.8833  0.8833  0.8833
O  0.1167  0.1167  0.1167
Se  0.5000  0.5000  0.5000